This record from Alexandria describes a PBEsol-optimized structure of LiNbB2O6. The functional is meta-GGA SCAN.

M_tot (μB per cell): 0.00
E_form (uncorrected) (meV/atom): -2565.6

abc: 4.922 9.227 11.318
angles: 90.00 102.12 90.00
Fractional positions:
Li (0.171, 0.043, 0.112)
Li (0.329, 0.543, 0.388)
Li (0.671, 0.457, 0.612)
Li (0.829, 0.957, 0.888)
Nb (0.126, 0.704, 0.129)
Nb (0.374, 0.204, 0.371)
Nb (0.626, 0.796, 0.629)
Nb (0.874, 0.296, 0.871)
B (0.156, 0.681, 0.605)
B (0.110, 0.370, 0.139)
B (0.344, 0.181, 0.895)
B (0.390, 0.870, 0.361)
B (0.610, 0.130, 0.639)
B (0.656, 0.819, 0.105)
B (0.890, 0.630, 0.861)
B (0.844, 0.319, 0.395)
O (0.092, 0.643, 0.964)
O (0.106, 0.365, 0.399)
O (0.126, 0.109, 0.926)
O (0.274, 0.746, 0.306)
O (0.302, 0.003, 0.314)
O (0.264, 0.322, 0.856)
O (0.236, 0.822, 0.644)
O (0.198, 0.503, 0.186)
O (0.226, 0.246, 0.194)
O (0.374, 0.609, 0.574)
O (0.408, 0.143, 0.536)
O (0.394, 0.865, 0.101)
O (0.606, 0.135, 0.899)
O (0.592, 0.857, 0.464)
O (0.626, 0.391, 0.426)
O (0.774, 0.754, 0.806)
O (0.802, 0.497, 0.814)
O (0.764, 0.178, 0.356)
O (0.736, 0.678, 0.144)
O (0.698, 0.997, 0.686)
O (0.726, 0.254, 0.694)
O (0.874, 0.891, 0.074)
O (0.894, 0.635, 0.601)
O (0.908, 0.357, 0.036)